DFT (PBE+U) results for a relaxed structure of Na3CrF.

Properties
energy	-16.88	eV per formula unit
total moment	5.51	μB/cell
E above lowest polymorph	0	meV/atom
calculated density	2.02	g/cm3

```
data_Na3CrF
_chemical_formula_sum 'Na3 Cr1 F1'
_space_group_name_H-M_alt 'P 1'
_space_group_IT_number 1
_cell_length_a 4.8600
_cell_length_b 4.8600
_cell_length_c 4.8600
_cell_angle_alpha 90.00
_cell_angle_beta 90.00
_cell_angle_gamma 90.00
loop_
_space_group_symop_operation_xyz
'x,y,z'
loop_
_atom_site_label
_atom_site_type_symbol
_atom_site_fract_x
_atom_site_fract_y
_atom_site_fract_z
Cr1 Cr 0.5000 0.5000 0.5000
F1 F 0.0000 0.0000 0.0000
Na1 Na 0.5000 0.0000 0.0000
Na2 Na 0.0000 0.5000 0.0000
Na3 Na 0.0000 0.0000 0.5000
```